Material: TlCr2PbO8
Method: DFT, PBE+U
State: optimized geometry

Properties
**Space group**: P-3m1 (164)
**ρ**: 5.0 Mg/m³
**Calculated total energy**: -73.8 eV/cell

Cell lengths 5.7842, 5.7842, 7.4254 Å; angles 90.00, 90.00, 120.00 degrees
Atoms (fractional coordinates):
Tl: 0.0000 0.0000 0.0000
Cr: 0.3333 0.6667 0.3085
Cr: 0.6667 0.3333 0.6915
Pb: 0.0000 0.0000 0.5000
O: 0.1722 0.3445 0.2407
O: 0.1722 0.8278 0.2407
O: 0.3333 0.6667 0.5271
O: 0.3445 0.1722 0.7593
O: 0.6555 0.8278 0.2407
O: 0.6667 0.3333 0.4729
O: 0.8278 0.1722 0.7593
O: 0.8278 0.6555 0.7593